Compound: Zn4CdGa2
Source: Alexandria
Functional: PBE
Structure: relaxed

CIF file:
```
data_Zn4CdGa2
_chemical_formula_sum 'Zn8 Cd2 Ga4'
_space_group_name_H-M_alt 'I 4/m m m'
_space_group_IT_number 139
_space_group_name_Hall '-I 4 2'
_cell_length_a 5.083
_cell_length_b 5.083
_cell_length_c 13.114
_cell_angle_alpha 90.00
_cell_angle_beta 90.00
_cell_angle_gamma 90.00
loop_
_atom_site_label
_atom_site_fract_x
_atom_site_fract_y
_atom_site_fract_z
Zn1 0.000 0.000 0.203
Zn2 0.000 0.500 0.000
Cd1 0.000 0.000 0.000
Ga1 0.000 0.000 0.396
```

N(E_F): 3.5 states/eV/f.u.
energy above the most stable polymorph in this dataset: 319.0 meV/atom
spin magnetization: 0.00 μB per formula unit
formation energy from the elements: 0.40 eV per atom